# 1
The following is a GGA-PBE calculation of an optimized crystal structure of ZnCoSn2Pb, from Alexandria.

Lattice parameters (Å, degrees): 4.936 4.936 4.807 90.00 90.00 90.00
Space group P4/mmm (No. 123)
Unique sites:
Zn 0.000 0.000 0.000
Co 0.000 0.000 0.500
Sn 0.000 0.500 0.500
Pb 0.500 0.500 0.000

Computed properties:
For the total energy, the calculation gives -3.88 eV/atom.



# 2
The following is a GGA-PBE calculation of an optimized crystal structure of SrCoPb3, from Alexandria.

Lattice parameters (Å, degrees): 6.076 6.076 6.076 90.00 90.00 90.00
Space group Pm-3m (No. 221)
Unique sites:
Sr 0.000 0.000 0.000
Co 0.500 0.500 0.500
Pb 0.000 0.000 0.500

Computed properties:
For the total energy, the calculation gives -2.54 eV/atom.



# 3
The following is a GGA-PBE calculation of an optimized crystal structure of Sr2CoPb, from Alexandria.

Lattice parameters (Å, degrees): 3.769 3.769 8.450 90.00 90.00 90.00
Space group P4/mmm (No. 123)
Unique sites:
Sr 0.000 0.000 0.219
Co 0.500 0.500 0.000
Pb 0.500 0.500 0.500

Computed properties:
For the total energy, the calculation gives -3.46 eV/atom.